1.
HfPbSe (PBE, optimized geometry); DOS(E_F) = 8.54 states/eV per cell; formation energy (no corrections) = -0.45 eV/atom; uncorrected energy = -6.1683 eV/atom
1.0
5.1039 0.0000 0.0000
2.5520 9.3235 0.2287
2.5520 1.8245 9.5268
Hf Pb Se
6 6 6
direct
0.9441 0.6744 0.3904 Hf
0.4283 0.2147 0.1084 Hf
0.2486 0.7147 0.6084 Hf
0.9369 0.3290 0.3513 Hf
0.3828 0.8290 0.8513 Hf
0.9911 0.1744 0.8904 Hf
0.9068 0.9089 0.1277 Pb
0.2701 0.5706 0.1100 Pb
0.2612 0.9444 0.3189 Pb
0.0567 0.4089 0.6277 Pb
0.0493 0.0706 0.6100 Pb
0.4755 0.4444 0.8189 Pb
0.5218 0.5689 0.3853 Se
0.8905 0.3270 0.0848 Se
0.6977 0.8270 0.5848 Se
0.4830 0.2120 0.3734 Se
0.9316 0.7120 0.8734 Se
0.5240 0.0689 0.8853 Se


2.
HfPbSe2 (PBE, optimized geometry); DOS(E_F) = 2.09 states/eV per cell; formation energy (no corrections) = -0.95 eV/atom; uncorrected energy = -6.1108 eV/atom
1.0
2.1210 0.0000 9.4757
-1.0605 1.8369 9.4757
-1.0605 -1.8369 9.4757
Pb Hf Se
1 1 2
direct
0.0000 0.0000 0.0000 Pb
0.5000 0.5000 0.5000 Hf
0.8909 0.8909 0.8909 Se
0.1091 0.1091 0.1091 Se


3.
Hf2Pb2Se (PBE, optimized geometry); DOS(E_F) = 2.96 states/eV per cell; formation energy (no corrections) = 0.45 eV/atom; uncorrected energy = -5.7159 eV/atom
1.0
-3.8884 -3.8694 -0.3193
2.7116 -3.0299 3.6960
-2.9425 -1.3674 5.1223
Pb Hf Se
2 2 1
direct
0.3415 0.3415 0.3170 Pb
0.6585 0.6585 0.6830 Pb
0.7500 0.2500 0.5000 Hf
0.2500 0.7500 0.5000 Hf
0.0000 0.0000 0.0000 Se


4.
HfPbSe2 (PBE, optimized geometry); DOS(E_F) = 7.15 states/eV per cell; formation energy (no corrections) = -0.40 eV/atom; uncorrected energy = -5.5604 eV/atom
1.0
-3.2417 -2.4805 -5.5625
6.0892 -1.4512 -2.9015
1.3214 -7.0276 -1.9152
Pb Hf Se
2 2 4
direct
0.0000 0.0000 0.0000 Pb
0.7500 0.2500 0.5000 Pb
0.5000 0.5000 0.0000 Hf
0.2500 0.7500 0.5000 Hf
0.5587 0.1250 0.2500 Se
0.1913 0.6250 0.2500 Se
0.3750 0.4413 0.7500 Se
0.8750 0.8087 0.7500 Se


5.
Hf2Pb2Se (PBE, optimized geometry); DOS(E_F) = 2.25 states/eV per cell; formation energy (no corrections) = 0.23 eV/atom; uncorrected energy = -5.9348 eV/atom
1.0
4.1691 0.0000 0.0000
0.0000 4.1691 0.0000
2.0845 2.0845 7.4059
Pb Hf Se
2 2 1
direct
0.7500 0.2500 0.5000 Pb
0.2500 0.7500 0.5000 Pb
0.4026 0.4026 0.1949 Hf
0.5974 0.5974 0.8051 Hf
0.0000 0.0000 0.0000 Se


6.
HfPbSe2 (PBE, optimized geometry); DOS(E_F) = 0.91 states/eV per cell; formation energy (no corrections) = -0.13 eV/atom; uncorrected energy = -5.2901 eV/atom
1.0
8.1407 -3.9993 -0.1676
7.7557 -2.5714 -3.9410
9.0190 -0.1244 -0.9674
Pb Hf Se
1 1 2
direct
0.5000 0.5000 0.5000 Pb
0.0000 0.0000 0.0000 Hf
0.9045 0.9045 0.9045 Se
0.0955 0.0955 0.0955 Se


7.
Hf7Pb2Se2 (PBE, optimized geometry); DOS(E_F) = 6.95 states/eV per cell; formation energy (no corrections) = -0.21 eV/atom; uncorrected energy = -7.8531 eV/atom
1.0
-2.5860 3.8526 6.0473
-5.5397 -2.1050 -2.3177
3.1324 -4.6488 3.0114
Hf Pb Se
7 2 2
direct
0.1651 0.4435 0.9150 Hf
0.8349 0.0850 0.5565 Hf
0.8349 0.5565 0.0850 Hf
0.1651 0.9150 0.4435 Hf
0.1469 0.3983 0.3983 Hf
0.0000 0.0000 0.0000 Hf
0.8531 0.6017 0.6017 Hf
0.5000 0.3337 0.6663 Pb
0.5000 0.6663 0.3337 Pb
0.2483 0.7958 0.7958 Se
0.7517 0.2042 0.2042 Se


8.
Hf2Pb2Se (PBE, optimized geometry); DOS(E_F) = 4.22 states/eV per cell; formation energy (no corrections) = -0.22 eV/atom; uncorrected energy = -6.3780 eV/atom
1.0
-1.9413 -2.7606 6.1708
-5.0676 -3.6550 -3.2294
3.1061 -3.7053 -0.6805
Pb Hf Se
4 4 2
direct
0.1629 0.6629 0.5000 Pb
0.6629 0.8371 0.5000 Pb
0.8371 0.3371 0.5000 Pb
0.3371 0.1629 0.5000 Pb
0.3490 0.8490 0.0000 Hf
0.8490 0.6510 0.0000 Hf
0.6510 0.1510 0.0000 Hf
0.1510 0.3490 0.0000 Hf
0.0000 0.0000 0.0000 Se
0.5000 0.5000 0.0000 Se


9.
HfPbSe3 (PBE, optimized geometry); DOS(E_F) = 4.51 states/eV per cell; formation energy (no corrections) = 0.69 eV/atom; uncorrected energy = -4.1357 eV/atom
1.0
5.2896 0.0000 0.0000
0.0000 5.2896 0.0000
0.0000 0.0000 5.2896
Pb Hf Se
1 1 3
direct
0.0000 0.0000 0.0000 Pb
0.5000 0.5000 0.5000 Hf
0.0000 0.5000 0.0000 Se
0.0000 0.0000 0.5000 Se
0.5000 0.0000 0.0000 Se


10.
HfPb2Se4 (PBE, optimized geometry); formation energy (no corrections) = -0.86 eV/atom; uncorrected energy = -5.3278 eV/atom
1.0
4.0002 0.0000 0.0000
0.0000 7.6476 0.0000
0.0000 0.0000 13.3942
Hf Pb Se
2 4 8
direct
0.0000 0.0000 0.5000 Hf
0.0000 0.5000 0.0000 Hf
0.5000 0.8681 0.8375 Pb
0.5000 0.1319 0.1625 Pb
0.5000 0.3681 0.6625 Pb
0.5000 0.6319 0.3375 Pb
0.0000 0.6000 0.8072 Se
0.0000 0.4000 0.1928 Se
0.0000 0.1000 0.6928 Se
0.0000 0.9000 0.3072 Se
0.5000 0.7704 0.5433 Se
0.5000 0.2296 0.4567 Se
0.5000 0.7296 0.0433 Se
0.5000 0.2704 0.9567 Se


11.
HfPbSe3 (PBE, optimized geometry); DOS(E_F) = 0.04 states/eV per cell; formation energy (no corrections) = -0.71 eV/atom; uncorrected energy = -5.5297 eV/atom
1.0
5.1973 0.0000 0.0000
0.0000 5.1973 0.0000
0.0000 0.0000 5.1973
Pb Hf Se
1 1 3
direct
0.5000 0.5000 0.5000 Pb
0.0000 0.0000 0.0000 Hf
0.0000 0.5000 0.0000 Se
0.0000 0.0000 0.5000 Se
0.5000 0.0000 0.0000 Se


12.
Hf2Pb2Se (PBE, optimized geometry); DOS(E_F) = 8.33 states/eV per cell; formation energy (no corrections) = 0.31 eV/atom; uncorrected energy = -5.8563 eV/atom
1.0
-2.8891 -7.6636 0.3817
1.5550 -0.1854 8.0480
-3.4629 1.3403 0.6999
Pb Hf Se
4 4 2
direct
0.3324 0.8324 0.0000 Pb
0.8324 0.6676 0.0000 Pb
0.6676 0.1676 0.0000 Pb
0.1676 0.3324 0.0000 Pb
0.1288 0.6288 0.5000 Hf
0.6288 0.8712 0.5000 Hf
0.8712 0.3712 0.5000 Hf
0.3712 0.1288 0.5000 Hf
0.0000 0.0000 0.0000 Se
0.5000 0.5000 0.0000 Se


13.
Hf3PbSe (PBE, optimized geometry); DOS(E_F) = 9.32 states/eV per cell; formation energy (no corrections) = 1.44 eV/atom; uncorrected energy = -5.9723 eV/atom
1.0
5.3377 0.0000 0.0000
0.0000 5.3377 0.0000
0.0000 0.0000 5.3377
Pb Hf Se
1 3 1
direct
0.0000 0.0000 0.0000 Pb
0.0000 0.5000 0.0000 Hf
0.0000 0.0000 0.5000 Hf
0.5000 0.0000 0.0000 Hf
0.5000 0.5000 0.5000 Se


14.
Hf3PbSe (PBE, optimized geometry); DOS(E_F) = 4.20 states/eV per cell; formation energy (no corrections) = -0.32 eV/atom; uncorrected energy = -7.7331 eV/atom
1.0
-0.4498 -0.0023 -3.4021
-5.5201 -3.5119 -1.0007
-5.5287 8.4836 0.7254
Hf Pb Se
6 2 2
direct
0.6570 0.6866 0.6947 Hf
0.3430 0.3134 0.1946 Hf
0.6570 0.6866 0.3053 Hf
0.3430 0.3134 0.8054 Hf
0.0165 0.9625 0.0000 Hf
0.9835 0.0374 0.5000 Hf
0.7186 0.5619 0.0000 Pb
0.2814 0.4382 0.5000 Pb
0.0000 0.0000 0.7500 Se
0.0000 0.0000 0.2500 Se


15.
Hf3PbSe (PBE, optimized geometry); DOS(E_F) = 2.88 states/eV per cell; formation energy (no corrections) = 0.19 eV/atom; uncorrected energy = -7.2256 eV/atom
1.0
-1.0901 4.2716 2.3034
-4.2585 0.2904 -2.5538
-2.3277 -2.5317 3.5935
Pb Hf Se
1 3 1
direct
0.5000 0.5000 0.5000 Pb
0.0000 0.5000 0.0000 Hf
0.0000 0.0000 0.5000 Hf
0.5000 0.0000 0.0000 Hf
0.0000 0.0000 0.0000 Se


16.
Hf3Pb2Se8 (PBE, optimized geometry); formation energy (no corrections) = -1.05 eV/atom; uncorrected energy = -6.0649 eV/atom
1.0
6.6033 0.1100 -1.7068
-0.9150 7.0713 -3.0840
-0.1096 -0.6396 8.3506
Hf Pb Se
3 2 8
direct
0.5000 0.0000 0.0000 Hf
0.0000 0.2614 0.0000 Hf
0.0000 0.7386 0.0000 Hf
0.6662 0.7435 0.4870 Pb
0.3338 0.2565 0.5130 Pb
0.0523 0.3858 0.7716 Se
0.9477 0.6142 0.2284 Se
0.1046 0.8956 0.7912 Se
0.8954 0.1044 0.2088 Se
0.3969 0.8665 0.2136 Se
0.3969 0.3471 0.2136 Se
0.6031 0.6529 0.7864 Se
0.6031 0.1335 0.7864 Se


17.
Hf2PbSe2 (PBE, optimized geometry); DOS(E_F) = 2.05 states/eV per cell; formation energy (no corrections) = -0.64 eV/atom; uncorrected energy = -6.7605 eV/atom
1.0
7.8924 0.0000 0.0000
0.0000 7.8924 0.0000
0.0000 0.0000 3.4178
Pb Hf Se
2 4 4
direct
0.0000 0.0000 0.0000 Pb
0.5000 0.5000 0.0000 Pb
0.3536 0.8536 0.0000 Hf
0.8536 0.6464 0.0000 Hf
0.6464 0.1464 0.0000 Hf
0.1464 0.3536 0.0000 Hf
0.1354 0.6354 0.5000 Se
0.6354 0.8646 0.5000 Se
0.8646 0.3646 0.5000 Se
0.3646 0.1354 0.5000 Se


18.
HfSiPb2Se (PBE, optimized geometry); DOS(E_F) = 5.58 states/eV per cell; formation energy (no corrections) = 0.64 eV/atom; uncorrected energy = -4.6121 eV/atom
1.0
5.7288 0.0000 0.0000
0.0000 5.0144 0.0000
0.0000 0.0000 5.7288
Pb Si Hf Se
2 1 1 1
direct
0.0000 0.0000 0.5000 Pb
0.5000 0.0000 0.0000 Pb
0.0000 0.5000 0.0000 Si
0.0000 0.0000 0.0000 Hf
0.5000 0.5000 0.5000 Se


19.
Hf2TePbSe (PBE, optimized geometry); DOS(E_F) = 4.94 states/eV per cell; formation energy (no corrections) = 0.41 eV/atom; uncorrected energy = -5.6418 eV/atom
1.0
-4.9119 -0.8556 -0.5589
-0.2946 -1.7916 5.3311
-0.9877 4.6789 1.5178
Pb Te Hf Se
1 1 2 1
direct
0.5000 0.5000 0.5000 Pb
0.0000 0.5000 0.0000 Te
0.0000 0.0000 0.5000 Hf
0.5000 0.0000 0.0000 Hf
0.0000 0.0000 0.0000 Se


20.
HfTl2Pb3Se6 (PBE, optimized geometry); formation energy (no corrections) = -0.70 eV/atom; uncorrected energy = -4.5888 eV/atom
1.0
7.8109 -0.0293 0.0057
-3.9289 6.7509 0.0057
-1.2916 -2.2364 6.8037
Hf Tl Pb Se
1 2 3 6
direct
0.0000 0.0000 0.0000 Hf
0.3262 0.6738 0.0000 Tl
0.6738 0.3262 0.0000 Tl
0.1548 0.8452 0.5000 Pb
0.8452 0.1548 0.5000 Pb
0.5000 0.5000 0.5000 Pb
0.9191 0.6383 0.7678 Se
0.7865 0.7865 0.2358 Se
0.0809 0.3617 0.2322 Se
0.6383 0.9191 0.7678 Se
0.2135 0.2135 0.7642 Se
0.3617 0.0809 0.2322 Se